# 1
Entry from Alexandria via LeMat-Bulk: a relaxed Nd2H2Au crystal (PBE).

## Properties
For the density of states at the Fermi level, the calculation gives 2.8 states/eV/f.u. The calculation puts the energy at -0.1683 hartree per atom.

Unit cell a=3.765 b=3.765 c=12.972 alpha=90.00 beta=90.00 gamma=90.00
Positions (direct):
Nd: 0.000 0.000 0.143
Nd: 0.000 0.000 0.857
Nd: 0.500 0.500 0.357
Nd: 0.500 0.500 0.643
H: 0.000 0.500 0.250
H: 0.000 0.500 0.750
H: 0.500 0.000 0.250
H: 0.500 0.000 0.750
Au: 0.000 0.000 0.500
Au: 0.500 0.500 0.000

---

# 2
Entry from Alexandria via LeMat-Bulk: a relaxed Tb4Nd19Tm6 crystal (PBE).

## Properties
For the density of states at the Fermi level, the calculation gives 44.0 states/eV/f.u. The formation energy from the elements comes out at 0.3671 eV per atom.

Unit cell a=10.992 b=10.992 c=10.992 alpha=109.47 beta=109.47 gamma=109.47
Positions (direct):
Tb: 0.000 0.000 0.640
Tb: 0.000 0.640 0.000
Tb: 0.360 0.360 0.360
Tb: 0.640 0.000 0.000
Nd: 0.000 0.000 0.000
Nd: 0.000 0.262 0.262
Nd: 0.000 0.738 0.738
Nd: 0.016 0.798 0.342
Nd: 0.202 0.219 0.545
Nd: 0.219 0.545 0.202
Nd: 0.262 0.000 0.262
Nd: 0.262 0.262 0.000
Nd: 0.326 0.781 0.984
Nd: 0.342 0.016 0.798
Nd: 0.455 0.674 0.658
Nd: 0.545 0.202 0.219
Nd: 0.658 0.455 0.674
Nd: 0.674 0.658 0.455
Nd: 0.738 0.000 0.738
Nd: 0.738 0.738 0.000
Nd: 0.781 0.984 0.326
Nd: 0.798 0.342 0.016
Nd: 0.984 0.326 0.781
Tm: 0.124 0.624 0.500
Tm: 0.376 0.500 0.876
Tm: 0.500 0.124 0.624
Tm: 0.500 0.876 0.376
Tm: 0.624 0.500 0.124
Tm: 0.876 0.376 0.500